The following is a PBE-GGA calculation of an optimized crystal structure of Th2OsC2, from Alexandria.

Output
Formation energy ... -0.250 eV per atom
Magnetization ... 0.0 μB per formula unit

Lattice parameters (Å, degrees): 3.807 3.807 12.684 90.00 90.00 90.00
Space group I4/mmm (No. 139)
Symmetry-distinct sites (fractional):
Th 0.000 0.000 0.143
Os 0.000 0.000 0.500
C 0.000 0.000 0.343